Compound: Sr2OsAu
Source: the Alexandria database
Functional: PBE
Structure: optimized geometry

V, Å³/cell: 95.25
Uncorrected energy, eV per atom: -3.953
N(E_F), states/eV per atom: 1.288
Total moment, μB/atom: 0.185
Space group: F-43m (216)

Cell: 5.126 5.126 5.126 Å, 60.00 60.00 60.00°
Fractional positions:
Sr 0.000 0.000 0.000
Sr 0.250 0.250 0.250
Os 0.750 0.750 0.750
Au 0.500 0.500 0.500

=====

Compound: SrOs2Au
Source: the Alexandria database
Functional: PBE
Structure: optimized geometry

V, Å³/cell: 71.71
Uncorrected energy, eV per atom: -5.793
N(E_F), states/eV per atom: 1.241
Total moment, μB/atom: 0.001
Space group: R-3m (166)

Cell: 10.322 10.322 10.322 Å, 15.87 15.87 15.87°
Fractional positions:
Sr 0.000 0.000 0.000
Os 0.243 0.243 0.243
Os 0.757 0.757 0.757
Au 0.500 0.500 0.500

=====

Compound: SrOs2Au
Source: the Alexandria database
Functional: PBE
Structure: optimized geometry

V, Å³/cell: 73.90
Uncorrected energy, eV per atom: -5.838
N(E_F), states/eV per atom: 1.271
Total moment, μB/atom: 0.126
Space group: P4/mmm (123)

Cell: 2.859 2.859 9.041 Å, 90.00 90.00 90.00°
Fractional positions:
Sr 0.000 0.000 0.000
Os 0.500 0.500 0.281
Os 0.500 0.500 0.719
Au 0.000 0.000 0.500

=====

Compound: Sr2OsAu
Source: the Alexandria database
Functional: PBE
Structure: optimized geometry

V, Å³/cell: 103.19
Uncorrected energy, eV per atom: -4.159
N(E_F), states/eV per atom: 1.135
Total moment, μB/atom: 0.227
Space group: Fm-3m (225)

Cell: 5.265 5.265 5.265 Å, 60.00 60.00 60.00°
Fractional positions:
Sr 0.250 0.250 0.250
Sr 0.750 0.750 0.750
Os 0.000 0.000 0.000
Au 0.500 0.500 0.500

=====

Compound: SrOs2Au
Source: the Alexandria database
Functional: PBE
Structure: optimized geometry

V, Å³/cell: 73.91
Uncorrected energy, eV per atom: -5.890
N(E_F), states/eV per atom: 0.792
Total moment, μB/atom: 0.000
Space group: Cmmm (65)

Cell: 5.571 5.571 2.653 Å, 90.00 90.00 116.16°
Fractional positions:
Sr 0.000 0.000 0.000
Os 0.000 0.500 0.500
Os 0.500 0.000 0.500
Au 0.500 0.500 0.000

=====

Compound: SrOs2Au
Source: the Alexandria database
Functional: PBE
Structure: optimized geometry

V, Å³/cell: 86.66
Uncorrected energy, eV per atom: -6.154
N(E_F), states/eV per atom: 0.945
Total moment, μB/atom: 0.000
Space group: Imm2 (44)

Cell: 5.391 5.391 5.391 Å, 137.86 122.53 73.79°
Fractional positions:
Sr 0.000 0.000 0.000
Os 0.536 0.536 0.000
Os 0.695 0.195 0.500
Au 0.293 0.793 0.500